(1)
{"formula": "TlCdB2As", "functional": "PBE", "state": "optimized geometry", "n_ef_per_ev_fu": 3.9, "delta_e_f_kj_per_mol_fu": 817, "vol_a3_per_cell": 112, "total_energy_ev_per_atom": -2.564, "lattice_angstrom": [[-0.091, 2.771, -3.288], [-5.413, -2.123, -1.639], [-1.908, 2.922, 2.515]], "species": ["As", "B", "B", "Tl", "Cd"], "fractional_positions": [[0.500, 0.500, 0.500], [0.500, 0.000, 0.000], [0.000, 0.000, 0.500], [0.000, 0.500, 0.000], [0.000, 0.000, 0.000]]}


(2)
{"formula": "InCu5Pt8", "functional": "PBE", "state": "optimized geometry", "n_ef_per_ev_fu": 10.9, "delta_e_f_kj_per_mol_fu": 12, "vol_a3_per_cell": 219, "total_energy_ev_per_atom": -5.102, "lattice_angstrom": [[6.574, -0.033, 0.058], [-2.256, 6.175, -0.058], [-2.062, -3.139, 5.396]], "species": ["Cu", "Cu", "Cu", "Cu", "Cu", "Pt", "Pt", "Pt", "Pt", "Pt", "Pt", "Pt", "Pt", "In"], "fractional_positions": [[0.500, 0.000, 0.500], [0.294, 0.083, 0.957], [0.788, 0.662, 0.706], [0.043, 0.338, 0.126], [0.874, 0.917, 0.212], [0.141, 0.736, 0.078], [0.595, 0.938, 0.859], [0.922, 0.062, 0.658], [0.522, 0.597, 0.258], [0.661, 0.403, 0.925], [0.342, 0.264, 0.405], [0.075, 0.736, 0.478], [0.742, 0.264, 0.339], [0.250, 0.500, 0.750]]}


Copy entry 1 word for word.
{"formula": "TlCdB2As", "functional": "PBE", "state": "optimized geometry", "n_ef_per_ev_fu": 3.9, "delta_e_f_kj_per_mol_fu": 817, "vol_a3_per_cell": 112, "total_energy_ev_per_atom": -2.564, "lattice_angstrom": [[-0.091, 2.771, -3.288], [-5.413, -2.123, -1.639], [-1.908, 2.922, 2.515]], "species": ["As", "B", "B", "Tl", "Cd"], "fractional_positions": [[0.500, 0.500, 0.500], [0.500, 0.000, 0.000], [0.000, 0.000, 0.500], [0.000, 0.500, 0.000], [0.000, 0.000, 0.000]]}


Copy entry 1 word for word.
{"formula": "TlCdB2As", "functional": "PBE", "state": "optimized geometry", "n_ef_per_ev_fu": 3.9, "delta_e_f_kj_per_mol_fu": 817, "vol_a3_per_cell": 112, "total_energy_ev_per_atom": -2.564, "lattice_angstrom": [[-0.091, 2.771, -3.288], [-5.413, -2.123, -1.639], [-1.908, 2.922, 2.515]], "species": ["As", "B", "B", "Tl", "Cd"], "fractional_positions": [[0.500, 0.500, 0.500], [0.500, 0.000, 0.000], [0.000, 0.000, 0.500], [0.000, 0.500, 0.000], [0.000, 0.000, 0.000]]}